# 1
Entry from Alexandria via LeMat-Bulk: an optimized crystal structure of CdBiAu2 (PBE).

Unit cell a=4.598 b=4.598 c=5.726 alpha=66.33 beta=66.33 gamma=60.00
Atoms (fractional coordinates):
Au1 0.271 0.271 0.187
Au2 0.729 0.729 0.813
Bi1 0.500 0.500 0.500
Cd1 0.000 0.000 0.000

M_tot in μB per formula unit: 0.0
DFT formation energy in eV/atom: -0.0361
E in eV per atom: -2.874

# 2
Entry from Alexandria via LeMat-Bulk: an optimized crystal structure of La5HgIr (PBE).

Unit cell a=6.359 b=6.359 c=12.093 alpha=76.43 beta=76.43 gamma=74.20
Atoms (fractional coordinates):
La1 0.942 0.573 0.135
La2 0.210 0.554 0.553
La3 0.573 0.942 0.635
La4 0.020 0.980 0.250
La5 0.446 0.790 0.947
La6 0.554 0.210 0.053
La7 0.980 0.020 0.750
La8 0.427 0.058 0.365
La9 0.790 0.446 0.447
La10 0.058 0.427 0.865
Hg1 0.435 0.565 0.250
Hg2 0.565 0.435 0.750
Ir1 0.000 0.000 0.000
Ir2 0.000 0.000 0.500

M_tot in μB per formula unit: 0.0
DFT formation energy in eV/atom: -0.3352
E in eV per atom: -5.164

# 3
Entry from Alexandria via LeMat-Bulk: an optimized crystal structure of Pr3Ru (PBE).

Unit cell a=6.431 b=9.119 c=9.119 alpha=82.86 beta=69.35 gamma=69.35
Atoms (fractional coordinates):
Pr1 0.334 0.000 0.808
Pr2 0.141 0.000 0.192
Pr3 0.858 0.808 0.000
Pr4 0.666 0.192 0.000
Pr5 0.500 0.358 0.642
Pr6 0.500 0.642 0.358
Pr7 0.858 0.642 0.642
Pr8 0.142 0.358 0.358
Pr9 0.002 0.000 0.596
Pr10 0.597 0.000 0.404
Pr11 0.403 0.596 0.000
Pr12 0.999 0.404 0.000
Ru1 0.000 0.292 0.708
Ru2 0.000 0.708 0.292
Ru3 0.292 0.708 0.708
Ru4 0.708 0.292 0.292

M_tot in μB per formula unit: 0.0
DFT formation energy in eV/atom: -0.1043
E in eV per atom: -6.008